# 1
A relaxed K3CdSe crystal, computed with PBE.

Cell: 6.3243 6.3243 6.3243 Å, 90.00 90.00 90.00°
Closest atoms and distances in Å follow each position.
Positions (direct):
K1 0.0000 0.0000 0.5000  2 Se 3.16
K2 0.0000 0.5000 0.0000  2 Se 3.16
K3 0.5000 0.0000 0.0000  2 Se 3.16
Cd1 0.5000 0.5000 0.5000  12 K 4.47
Se1 0.0000 0.0000 0.0000  6 K 3.16

ρ ... 2.026 Mg/m³
ΔE to the lowest computed polymorph ... 0 meV/atom
ΔE_f (raw) ... -0.52 eV per atom
Total energy ... -2.0574 eV/atom
Space-group type ... No. 221

***

# 2
A relaxed KCdSe2 crystal, computed with PBE.

Cell: 4.0242 4.0242 24.0529 Å, 90.00 90.00 120.00°
Closest atoms and distances in Å follow each position.
Positions (direct):
K1 0.0000 0.0000 0.0000  6 Se 3.34-3.35
K2 0.3333 0.6667 0.6667  6 Se 3.34-3.35
K3 0.6667 0.3333 0.3333  6 Se 3.34-3.35
Cd1 0.0000 0.0000 0.1670  6 Se 2.82-2.83
Cd2 0.3333 0.6667 0.8337  6 Se 2.82-2.83
Cd3 0.6667 0.3333 0.5004  6 Se 2.82-2.83
Se1 0.0000 0.0000 0.5666  3 Cd 2.82
Se2 0.0000 0.0000 0.7666  3 Cd 2.83
Se3 0.3333 0.6667 0.2333  3 Cd 2.82
Se4 0.3333 0.6667 0.4333  3 Cd 2.83
Se5 0.6667 0.3333 0.1000  3 Cd 2.83
Se6 0.6667 0.3333 0.8999  3 Cd 2.82

ρ ... 4.570 Mg/m³
ΔE_f (raw) ... -0.59 eV per atom
Total energy ... -2.8364 eV/atom
Space-group type ... No. 160

***

# 3
A relaxed KCdSe2 crystal, computed with PBE.

Cell: 5.6959 5.6959 3.0579 Å, 90.00 90.00 90.00°
Closest atoms and distances in Å follow each position.
Positions (direct):
K1 0.0000 0.0000 0.0000  2 K 3.06, 8 Se 3.23
Cd1 0.5000 0.5000 0.0000  2 Cd 3.06, 8 Se 3.23
Se1 0.0000 0.5000 0.5000  2 Se 3.06, 4 Cd 3.23, 4 K 3.23
Se2 0.5000 0.0000 0.5000  2 Se 3.06, 4 Cd 3.23, 4 K 3.23

ρ ... 5.179 Mg/m³
ΔE_f (raw) ... -0.41 eV per atom
Total energy ... -2.6522 eV/atom
Space-group type ... No. 123

***

# 4
A relaxed KCdSe crystal, computed with PBE.

Cell: 7.3956 7.3956 7.3956 Å, 90.00 90.00 90.00°
Closest atoms and distances in Å follow each position.
Positions (direct):
K1 0.0000 0.0000 0.0000  4 Se 3.20
K2 0.0000 0.5000 0.5000  4 Se 3.20
K3 0.5000 0.0000 0.5000  4 Se 3.20
K4 0.5000 0.5000 0.0000  4 Se 3.20
Cd1 0.0000 0.0000 0.5000  4 Se 3.20
Cd2 0.0000 0.5000 0.0000  4 Se 3.20
Cd3 0.5000 0.0000 0.0000  4 Se 3.20
Cd4 0.5000 0.5000 0.5000  4 Se 3.20
Se1 0.2500 0.2500 0.7500  4 Cd 3.20, 4 K 3.20
Se2 0.2500 0.7500 0.2500  4 Cd 3.20, 4 K 3.20
Se3 0.7500 0.2500 0.2500  4 Cd 3.20, 4 K 3.20
Se4 0.7500 0.7500 0.7500  4 K 3.20, 4 Cd 3.20

ρ ... 3.784 Mg/m³
ΔE to the lowest computed polymorph ... 49 meV/atom
ΔE_f (raw) ... -0.50 eV per atom
Total energy ... -2.3361 eV/atom
Space-group type ... No. 216

***

# 5
A relaxed KCdSe2 crystal, computed with PBE.

Cell: 3.0706 3.0706 11.5644 Å, 90.00 90.00 90.00°
Closest atoms and distances in Å follow each position.
Positions (direct):
K1 0.0000 0.0000 0.0000  4 K 3.07, 4 Se 3.23
Cd1 0.5000 0.5000 0.7390  4 Cd 3.07, 4 Se 3.11
Se1 0.0000 0.0000 0.5466  4 Se 3.07, 4 Cd 3.11
Se2 0.5000 0.5000 0.2069  4 Se 3.07, 4 K 3.23

ρ ... 4.712 Mg/m³
ΔE_f (raw) ... -0.02 eV per atom
Total energy ... -2.2622 eV/atom
Space-group type ... No. 99

***

# 6
A relaxed KCdSe4 crystal, computed with PBE.

Cell: 5.9560 5.9560 5.9560 Å, 60.00 60.00 60.00°
Closest atoms and distances in Å follow each position.
Positions (direct):
K1 0.0000 0.0000 0.0000  12 Se 3.50, 4 Cd 3.65
Cd1 0.2500 0.2500 0.2500  12 Se 3.49, 4 K 3.65
Se1 0.1320 0.6227 0.6227  6 Se 2.92-3.03
Se2 0.6227 0.1320 0.6227  6 Se 2.92-3.03
Se3 0.6227 0.6227 0.1320  6 Se 2.92-3.03
Se4 0.6227 0.6227 0.6227  6 Se 2.92-3.03

ρ ... 5.194 Mg/m³
ΔE_f (raw) ... -0.03 eV per atom
Total energy ... -2.6870 eV/atom
Space-group type ... No. 216

***

# 7
A relaxed KCdSe2 crystal, computed with PBE.

Cell: 3.1596 5.7534 5.7547 Å, 90.00 90.02 90.00°
Closest atoms and distances in Å follow each position.
Positions (direct):
K1 0.0000 0.0000 0.0000  2 K 3.16, 8 Se 3.28-3.29
Cd1 0.4999 0.5000 0.4994  4 Se 2.87-2.88, 2 Cd 3.16
Se1 0.4999 0.5000 0.9999  2 Cd 2.87-2.88, 2 Se 3.16
Se2 0.5014 0.0000 0.5003  2 Cd 2.88, 2 Se 3.16

ρ ... 4.912 Mg/m³
ΔE_f (raw) ... -0.50 eV per atom
Total energy ... -2.7455 eV/atom
Space-group type ... No. 6

***

# 8
A relaxed K2Cd2Se crystal, computed with PBE.

Cell: 7.9311 7.9311 5.3644 Å, 90.00 90.00 90.00°
Closest atoms and distances in Å follow each position.
Positions (direct):
K1 0.1850 0.3150 0.0000  6 Cd 3.40-3.69
K2 0.3150 0.8150 0.0000  6 Cd 3.40-3.69
K3 0.6850 0.1850 0.0000  6 Cd 3.40-3.69
K4 0.8150 0.6850 0.0000  6 Cd 3.40-3.69
Cd1 0.1287 0.6287 0.5000  1 Cd 2.89, 2 Se 3.12
Cd2 0.3713 0.1287 0.5000  1 Cd 2.89, 2 Se 3.12
Cd3 0.6287 0.8713 0.5000  1 Cd 2.89, 2 Se 3.12
Cd4 0.8713 0.3713 0.5000  1 Cd 2.89, 2 Se 3.12
Se1 0.0000 0.0000 0.5000  4 Cd 3.12
Se2 0.5000 0.5000 0.5000  4 Cd 3.12

ρ ... 3.760 Mg/m³
ΔE_f (raw) ... -0.29 eV per atom
Total energy ... -1.7911 eV/atom
Space-group type ... No. 127

***

# 9
A relaxed KCdSe2 crystal, computed with PBE.

Cell: 4.2382 6.1652 8.4257 Å, 90.00 90.00 90.00°
Closest atoms and distances in Å follow each position.
Positions (direct):
K1 0.0000 0.0000 0.0000  4 Se 3.21
K2 0.5000 0.5000 0.0000  4 Se 3.21
Cd1 0.0000 0.0000 0.5000  4 Se 2.78
Cd2 0.5000 0.5000 0.5000  4 Se 2.78
Se1 0.0000 0.5000 0.2858  2 Cd 2.78
Se2 0.0000 0.5000 0.7142  2 Cd 2.78
Se3 0.5000 0.0000 0.2858  2 Cd 2.78
Se4 0.5000 0.0000 0.7142  2 Cd 2.78

ρ ... 4.668 Mg/m³
ΔE_f (raw) ... -0.46 eV per atom
Total energy ... -2.7005 eV/atom
Space-group type ... No. 65

***

# 10
A relaxed KCdSe2 crystal, computed with PBE.

Cell: 4.3166 4.3166 11.0349 Å, 90.00 90.00 90.00°
Closest atoms and distances in Å follow each position.
Positions (direct):
K1 0.0000 0.0000 0.0000  4 Se 3.05
K2 0.5000 0.5000 0.5000  4 Se 3.05
Cd1 0.0000 0.5000 0.2500  4 Se 3.05
Cd2 0.5000 0.0000 0.7500  4 Se 3.05
Se1 0.0000 0.0000 0.5000  4 K 3.05
Se2 0.0000 0.5000 0.7500  4 Cd 3.05
Se3 0.5000 0.0000 0.2500  4 Cd 3.05
Se4 0.5000 0.5000 0.0000  4 K 3.05

ρ ... 4.998 Mg/m³
ΔE_f (raw) ... -0.26 eV per atom
Total energy ... -2.5031 eV/atom
Space-group type ... No. 119

***

# 11
A relaxed KCd3Se3 crystal, computed with PBE.

Cell: 9.2822 9.2822 9.2822 Å, 51.55 51.55 51.55°
Closest atoms and distances in Å follow each position.
Positions (direct):
K1 0.1668 0.1668 0.1668  6 Se 3.47-3.50
K2 0.8332 0.8332 0.8332  6 Se 3.47-3.50
Cd1 0.0606 0.7052 0.3761  4 Se 2.75-2.89
Cd2 0.2948 0.6239 0.9394  4 Se 2.75-2.89
Cd3 0.3761 0.0606 0.7052  4 Se 2.75-2.89
Cd4 0.6239 0.9394 0.2948  4 Se 2.75-2.89
Cd5 0.7052 0.3761 0.0606  4 Se 2.75-2.89
Cd6 0.9394 0.2948 0.6239  4 Se 2.75-2.89
Se1 0.0621 0.4097 0.7469  4 Cd 2.75-2.89
Se2 0.2531 0.9379 0.5903  4 Cd 2.75-2.89
Se3 0.4097 0.7469 0.0621  4 Cd 2.75-2.89
Se4 0.5903 0.2531 0.9379  4 Cd 2.75-2.89
Se5 0.7469 0.0621 0.4097  4 Cd 2.75-2.89
Se6 0.9379 0.5903 0.2531  4 Cd 2.75-2.89

ρ ... 4.495 Mg/m³
ΔE_f (raw) ... -0.60 eV per atom
Total energy ... -2.6443 eV/atom
Space-group type ... No. 148

***

# 12
A relaxed KCdSe2 crystal, computed with PBE.

Cell: 7.4518 7.4518 7.4518 Å, 90.00 90.00 90.00°
Closest atoms and distances in Å follow each position.
Positions (direct):
K1 0.0000 0.0000 0.0000  4 Cd 3.23, 4 Se 3.23
K2 0.0000 0.5000 0.5000  4 Cd 3.23, 4 Se 3.23
K3 0.5000 0.0000 0.5000  4 Cd 3.23, 4 Se 3.23
K4 0.5000 0.5000 0.0000  4 Cd 3.23, 4 Se 3.23
Cd1 0.2500 0.2500 0.2500  4 Se 3.23, 4 K 3.23
Cd2 0.2500 0.7500 0.7500  4 Se 3.23, 4 K 3.23
Cd3 0.7500 0.2500 0.7500  4 Se 3.23, 4 K 3.23
Cd4 0.7500 0.7500 0.2500  4 Se 3.23, 4 K 3.23
Se1 0.0000 0.0000 0.5000  4 Cd 3.23, 4 Se 3.23
Se2 0.0000 0.5000 0.0000  4 Cd 3.23, 4 Se 3.23
Se3 0.2500 0.2500 0.7500  4 Se 3.23, 4 K 3.23
Se4 0.2500 0.7500 0.2500  4 Se 3.23, 4 K 3.23
Se5 0.5000 0.0000 0.0000  4 Cd 3.23, 4 Se 3.23
Se6 0.5000 0.5000 0.5000  4 Cd 3.23, 4 Se 3.23
Se7 0.7500 0.2500 0.2500  4 Se 3.23, 4 K 3.23
Se8 0.7500 0.7500 0.7500  4 Se 3.23, 4 K 3.23

ρ ... 4.967 Mg/m³
ΔE_f (raw) ... -0.06 eV per atom
Total energy ... -2.3019 eV/atom
Space-group type ... No. 216

***

# 13
A relaxed K2CdSe2 crystal, computed with PBE.

Cell: 6.2996 6.2996 13.9146 Å, 90.00 90.00 90.00°
Closest atoms and distances in Å follow each position.
Positions (direct):
K1 0.0000 0.5000 0.2500  4 Se 3.31
K2 0.0000 0.5000 0.7500  4 Se 3.31
K3 0.5000 0.0000 0.2500  4 Se 3.31
K4 0.5000 0.0000 0.7500  4 Se 3.31
Cd1 0.0000 0.0000 0.0000  2 Se 2.45
Cd2 0.5000 0.5000 0.5000  2 Se 2.45
Se1 0.0000 0.0000 0.1761  1 Cd 2.45
Se2 0.0000 0.0000 0.8239  1 Cd 2.45
Se3 0.5000 0.5000 0.3239  1 Cd 2.45
Se4 0.5000 0.5000 0.6761  1 Cd 2.45

ρ ... 2.096 Mg/m³
ΔE_f (raw) ... -0.89 eV per atom
Total energy ... -2.9017 eV/atom
Space-group type ... No. 139